[1]
Material: NdHPd3
Method: DFT, PBE
State: relaxed

```
10
Lattice="5.252 0.044 -3.083 1.786 4.939 -3.083 -0.062 -0.044 6.090" Properties=species:S:1:pos:R:3 pbc="T T T"
Pd 1.074 3.021 3.653
Pd 3.631 3.064 -0.992
Pd 6.291 3.180 -2.476
Pd 2.741 0.667 3.652
H 4.875 3.945 -0.032
Nd 3.653 3.080 2.077
Nd 5.417 0.654 -0.968
H 1.390 1.477 0.000
Pd 5.334 0.595 2.053
Pd 2.838 0.595 0.607
```

Calculated values
calculated total energy = -5.37 eV per atom
density = 9.88 Mg/m³
space-group type = R3m, No. 160

***

[2]
Material: Nd2HPd
Method: DFT, PBE
State: relaxed

```
4
Lattice="3.854 0.000 0.000 1.927 3.337 0.000 1.927 1.112 7.070" Properties=species:S:1:pos:R:3 pbc="T T T"
Pd 3.854 2.225 0.004
Nd 1.927 1.112 5.223
Nd 1.927 1.112 1.848
H 3.854 2.225 3.530
```

Calculated values
calculated total energy = -4.87 eV per atom
density = 7.23 Mg/m³
space-group type = R3m, No. 160

***

[3]
Material: Nd2HPd
Method: DFT, PBE
State: relaxed

```
4
Lattice="3.390 0.000 0.000 1.695 2.936 0.000 1.695 0.979 8.613" Properties=species:S:1:pos:R:3 pbc="T T T"
Nd 1.695 0.979 5.910
H 3.390 1.957 4.306
Nd 5.085 2.936 2.703
Pd 0.000 0.000 0.000
```

Calculated values
calculated total energy = -4.57 eV per atom
density = 7.67 Mg/m³
space-group type = R-3m, No. 166

***

[4]
Material: NdH7Pd2
Method: DFT, PBE
State: relaxed

```
10
Lattice="-3.555 -0.124 -0.583 0.914 -0.722 -5.421 -0.494 -3.957 3.853" Properties=species:S:1:pos:R:3 pbc="T T T"
H -1.226 -3.554 -2.908
Pd -1.321 -1.836 -2.698
Pd -1.813 -2.968 0.547
H -1.515 -0.346 -1.833
H 0.434 -1.825 -2.260
H -1.567 -2.402 -1.075
H -1.619 -4.458 -0.318
Nd 0.000 0.000 0.000
H -1.908 -1.249 0.757
H -0.014 -2.854 0.692
```

Calculated values
calculated total energy = -4.04 eV per atom
density = 6.83 Mg/m³
space-group type = Cmmm, No. 65

***

[5]
Material: NdH4Pd
Method: DFT, PBE
State: relaxed

```
12
Lattice="3.651 0.000 0.000 -1.825 6.293 -1.430 0.000 -3.656 6.665" Properties=species:S:1:pos:R:3 pbc="T T T"
Pd 0.000 -2.060 4.759
H 1.825 3.364 1.626
H 1.825 3.001 4.462
H 0.000 -0.728 3.610
H 1.825 1.152 1.955
Pd 1.825 4.696 0.476
H 0.000 4.394 0.040
H 0.000 1.484 3.280
Nd 0.000 1.985 1.028
Nd 1.825 0.652 4.207
H 1.825 -1.757 5.196
H 0.000 -0.364 0.773
```

Calculated values
calculated total energy = -4.23 eV per atom
density = 6.31 Mg/m³
space-group type = C2/m, No. 12

***

[6]
Material: NdH6Pd3
Method: DFT, PBE
State: relaxed

```
10
Lattice="4.408 0.000 -2.362 -2.837 4.118 0.000 0.033 0.023 5.356" Properties=species:S:1:pos:R:3 pbc="T T T"
H -1.403 3.087 0.783
Pd 0.783 0.539 1.461
H 3.394 0.235 -0.735
H 2.552 1.654 2.052
Nd 0.969 3.704 1.809
Pd 2.066 1.423 -1.438
H -1.187 3.804 3.261
Pd -0.405 2.757 4.538
H 0.902 1.707 0.057
H 0.349 1.795 3.180
```

Calculated values
calculated total energy = -4.37 eV per atom
density = 7.98 Mg/m³
space-group type = R3, No. 146

***

[7]
Material: NdH4Pd2
Method: DFT, PBE
State: relaxed

```
14
Lattice="3.404 0.000 0.000 -1.702 4.822 0.000 0.000 0.000 8.940" Properties=species:S:1:pos:R:3 pbc="T T T"
Nd 1.702 0.867 6.705
Nd 0.000 3.955 2.235
H 0.000 2.421 8.031
H 1.702 0.000 4.470
H 1.702 2.401 3.561
H 0.000 0.807 2.235
H 0.000 2.421 5.379
H 1.702 0.000 0.000
Pd 1.702 3.488 8.438
H 1.702 4.016 6.705
Pd 0.000 1.334 0.502
H 1.702 2.401 0.909
Pd 0.000 1.334 3.968
Pd 1.702 3.488 4.972
```

Calculated values
calculated total energy = -4.42 eV per atom
density = 8.17 Mg/m³
space-group type = Cmcm, No. 63

***

[8]
Material: NdH6Pd8
Method: DFT, PBE
State: relaxed

```
15
Lattice="-2.801 5.503 1.881 1.878 1.326 3.404 4.925 6.368 -0.254" Properties=species:S:1:pos:R:3 pbc="T T T"
H 0.430 5.624 2.330
H 3.175 5.265 1.305
H 0.827 7.932 3.727
H 3.118 10.081 4.406
Pd 4.580 8.675 1.518
Pd 1.984 9.097 2.783
Nd 0.000 0.000 0.000
Pd -0.578 4.522 3.513
H 0.884 3.116 0.625
Pd 1.753 6.350 3.999
Pd 4.424 5.850 2.699
Pd 2.249 6.847 1.032
Pd 2.018 4.100 2.249
H 3.572 7.573 2.701
Pd -0.422 7.347 2.332
```

Calculated values
calculated total energy = -4.71 eV per atom
density = 9.97 Mg/m³
space-group type = P-1, No. 2

***

[9]
Material: NdH3Pd2
Method: DFT, PBE
State: relaxed

```
12
Lattice="5.383 0.000 0.000 0.000 5.418 0.433 0.000 -0.956 5.351" Properties=species:S:1:pos:R:3 pbc="T T T"
H 4.037 2.409 4.309
Nd 4.037 3.486 1.923
Pd 2.691 0.867 1.124
H 4.037 -0.702 5.155
H 4.037 0.905 2.360
Nd 1.346 0.976 3.860
H 1.346 3.557 3.424
Pd 0.000 3.595 4.659
H 1.346 5.164 0.629
Pd 2.691 3.595 4.659
Pd 0.000 0.867 1.124
H 1.346 2.053 1.475
```

Calculated values
calculated total energy = -4.64 eV per atom
density = 7.56 Mg/m³
space-group type = Cmcm, No. 63

***

[10]
Material: NdH4Pd3
Method: DFT, PBE
State: relaxed

```
16
Lattice="5.581 0.000 0.000 0.000 5.581 0.000 0.000 0.000 5.581" Properties=species:S:1:pos:R:3 pbc="T T T"
Pd 0.000 2.791 4.186
Nd 0.000 0.000 0.000
Pd 1.395 0.000 2.791
Pd 2.791 1.395 0.000
Pd 2.791 4.186 0.000
Nd 2.791 2.791 2.791
H 1.395 4.186 4.186
H 4.186 4.186 1.395
H 4.186 1.395 1.395
Pd 4.186 0.000 2.791
H 1.395 1.395 1.395
H 4.186 4.186 4.186
H 1.395 1.395 4.186
H 1.395 4.186 1.395
Pd 0.000 2.791 1.395
H 4.186 1.395 4.186
```

Calculated values
calculated total energy = -4.58 eV per atom
density = 8.93 Mg/m³
space-group type = Pm-3n, No. 223

***

[11]
Material: NdHPd3
Method: DFT, PBE
State: relaxed

```
5
Lattice="-3.460 0.360 -2.425 -2.446 -0.218 3.457 0.168 4.219 0.386" Properties=species:S:1:pos:R:3 pbc="T T T"
Nd -2.868 2.180 0.709
H 0.000 0.000 0.000
Pd -1.730 0.180 -1.213
Pd 0.084 2.110 0.193
Pd -1.223 -0.109 1.728
```

Calculated values
calculated total energy = -5.34 eV per atom
density = 10.12 Mg/m³
space-group type = Pm-3m, No. 221

***

[12]
Material: Nd2H8Pd3
Method: DFT, PBE
State: relaxed

```
13
Lattice="-3.697 -2.753 0.877 2.246 -1.174 5.785 -1.905 5.525 -1.587" Properties=species:S:1:pos:R:3 pbc="T T T"
H -3.945 1.224 1.780
Pd -1.849 -1.376 0.438
H 0.157 -0.903 5.350
H -2.114 1.771 3.327
H -3.450 -1.576 1.020
Pd 1.630 -0.852 4.197
H 0.590 0.374 3.295
Nd -1.700 2.046 1.075
H -1.242 -0.172 1.748
H 0.095 3.175 4.055
Pd 0.617 -0.322 1.588
Nd -1.655 -0.447 4.000
H -3.512 2.502 -0.275
```

Calculated values
calculated total energy = -4.34 eV per atom
density = 7.27 Mg/m³
space-group type = C2/m, No. 12

***

Number 1: total moment 0.00 μB/f.u.. Number 2: total moment 0.00 μB/f.u.. Number 3: total moment 0.00 μB/f.u.. Number 4: total moment 0.00 μB/f.u.. Number 5: total moment 0.00 μB/f.u.. Number 6: total moment 0.00 μB/f.u.. Number 7: total moment 0.00 μB/f.u.. Number 8: total moment 0.00 μB/f.u.. Number 9: total moment 0.00 μB/f.u.. Number 10: total moment 0.00 μB/f.u.. Number 11: total moment 0.00 μB/f.u.. Number 12: total moment 0.00 μB/f.u..